1.
Below is MnCo2Pb after structural relaxation, with properties calculated at the PBE level.

Calculated values
- DOS at the Fermi energy: 0.909 states/eV/atom
- Energy relative to the elements: 20.87 kcal/mol of atoms

abc: 4.251 4.251 14.787
angles: 90.00 90.00 90.00
Space group I-42d (No. 122)
Unique sites:
Mn: 0.000 0.000 0.000 [4 per cell]
Co: 0.129 0.250 0.125 [8 per cell]
Pb: 0.000 0.000 0.500 [4 per cell]

2.
Below is MnCo2Pb after structural relaxation, with properties calculated at the PBE level.

Calculated values
- DOS at the Fermi energy: 1.442 states/eV/atom
- Energy relative to the elements: 10.65 kcal/mol of atoms

abc: 6.169 6.169 6.169
angles: 90.00 90.00 90.00
Space group F-43m (No. 216)
Unique sites:
Mn: 0.000 0.000 0.000 [4 per cell]
Co: 0.000 0.000 0.500 [4 per cell]
Co: 0.250 0.250 0.750 [4 per cell]
Pb: 0.250 0.250 0.250 [4 per cell]

3.
Below is MnCo2Pb after structural relaxation, with properties calculated at the PBE level.

Calculated values
- DOS at the Fermi energy: 1.030 states/eV/atom
- Energy relative to the elements: 8.18 kcal/mol of atoms

abc: 4.0904 4.0904 13.2899
angles: 90.00 90.00 120.00
Space group R3m (No. 160, hexagonal axes)
Unique sites:
Mn: 0.0000 0.0000 0.0000 [3 per cell]
Co: 0.0000 0.0000 0.2308 [3 per cell]
Co: 0.0000 0.0000 0.5849 [3 per cell]
Pb: 0.0000 0.0000 0.7879 [3 per cell]

Calculated total magnetization (μB per formula unit), listed in the same order as above: 0.00 6.10 6.61